Record 1
Density functional theory data (GGA-PBEsol) for a relaxed structure of Ni2SbRu.

abc: 2.862 2.862 8.189
angles: 79.94 79.94 60.00
Positions (direct):
Sb: 0.000 0.000 0.000
Ni: 0.248 0.248 0.257
Ni: 0.752 0.752 0.743
Ru: 0.500 0.500 0.500

Properties
Size of the total moment   0.004 μB per cell
Density of states at the Fermi level   1.251 states/eV/atom
E_form (uncorrected)   444 meV/atom
DFT total energy   -6.318 eV per atom

Record 2
Density functional theory data (GGA-PBEsol) for a relaxed structure of MgMoRu2.

abc: 2.670 2.670 9.106
angles: 90.00 90.00 113.92
Positions (direct):
Ru: 0.500 0.500 0.756
Ru: 0.000 0.000 0.997
Mg: 0.000 0.000 0.509
Mo: 0.500 0.500 0.238

Properties
ΔH_f (0 K)   0.39 eV per atom
Size of the total moment   0.003 μB per cell
Density of states at the Fermi level   1.341 states/eV/atom
DFT total energy   -8.071 eV per atom

Record 3
Density functional theory data (GGA-PBEsol) for a relaxed structure of Li2CdIn.

abc: 3.404 3.404 6.211
angles: 90.00 90.00 90.00
Positions (direct):
Cd: 0.500 0.500 0.000
Li: 0.000 0.000 0.752
Li: 0.000 0.000 0.248
In: 0.500 0.500 0.500

Properties
ΔH_f (0 K)   -0.28 eV per atom
Size of the total moment   0.000 μB per cell
Density of states at the Fermi level   0.354 states/eV/atom
DFT total energy   -2.311 eV per atom

Record 4
Density functional theory data (GGA-PBEsol) for a relaxed structure of LiP2NCl.

abc: 4.324 4.324 4.385
angles: 90.00 90.00 90.00
Each line ends with the local moment (μB).
Positions (direct):
P: 0.000 0.500 0.000  -0.15
P: 0.500 0.000 0.000  -0.15
Cl: 0.000 0.000 0.500  0.05
Li: 0.000 0.000 0.000  0.00
N: 0.500 0.500 0.500  1.50

Properties
Size of the total moment   1.600 μB per cell
Density of states at the Fermi level   0.553 states/eV/atom
E_form (uncorrected)   1552 meV/atom
DFT total energy   -3.265 eV per atom

Record 5
Density functional theory data (GGA-PBEsol) for a relaxed structure of Ru5W.

abc: 2.719 4.295 7.182
angles: 90.00 100.91 90.00
Positions (direct):
Ru: 0.667 0.000 0.335
Ru: 0.999 0.000 0.998
Ru: 0.781 0.500 0.562
Ru: 0.443 0.500 0.887
Ru: 0.333 0.000 0.665
W: 0.110 0.500 0.220

Properties
ΔH_f (0 K)   0.00 eV per atom
Size of the total moment   0.000 μB per cell
Density of states at the Fermi level   0.889 states/eV/atom
DFT total energy   -10.782 eV per atom
Energy above the lowest structure with this stoichiometry   0.029 eV/atom

Record 6
Density functional theory data (GGA-PBEsol) for a relaxed structure of Sc2MnCl.

abc: 3.008 4.799 4.799
angles: 90.00 90.00 90.00
Each line ends with the local moment (μB).
Positions (direct):
Sc: 0.000 0.500 0.000  -0.29
Sc: 0.000 0.000 0.500  -0.29
Mn: 0.500 0.000 0.000  2.57
Cl: 0.500 0.500 0.500  0.03

Properties
Size of the total moment   1.944 μB per cell
Density of states at the Fermi level   0.992 states/eV/atom
E_form (uncorrected)   -257 meV/atom
DFT total energy   -6.502 eV per atom
Energy above the lowest structure with this stoichiometry   0.000 eV/atom